Record 1
Computed, not measured: a geometry-optimized Zn2NiHIr structure at the PBE level of DFT.

Lattice parameters (Å, degrees): 4.020 4.020 3.522 90.00 90.00 90.00
Space group P4/mmm (No. 123)
Unique sites:
Zn 0.000 0.500 0.000 [2 per cell]
Ni 0.000 0.000 0.500 [1 per cell]
H 0.500 0.500 0.000 [1 per cell]
Ir 0.500 0.500 0.500 [1 per cell]

## Properties
energy relative to the lowest polymorph listed for this composition	0.059	eV per atom
DOS(E_F)	0.2672	states/eV/atom
density	11.17	Mg/m³

Record 2
Computed, not measured: a geometry-optimized ZnNi2HIr structure at the PBE level of DFT.

Lattice parameters (Å, degrees): 3.716 3.716 3.815 90.00 90.00 90.00
Space group P4/mmm (No. 123)
Unique sites:
Zn 0.000 0.000 0.000 [1 per cell]
Ni 0.000 0.500 0.500 [2 per cell]
H 0.500 0.500 0.500 [1 per cell]
Ir 0.500 0.500 0.000 [1 per cell]

## Properties
energy relative to the lowest polymorph listed for this composition	0.000	eV per atom
DOS(E_F)	0.9377	states/eV/atom
density	11.86	Mg/m³

Please write out number 2 again, unchanged.
Computed, not measured: a geometry-optimized ZnNi2HIr structure at the PBE level of DFT.

Lattice parameters (Å, degrees): 3.716 3.716 3.815 90.00 90.00 90.00
Space group P4/mmm (No. 123)
Unique sites:
Zn 0.000 0.000 0.000 [1 per cell]
Ni 0.000 0.500 0.500 [2 per cell]
H 0.500 0.500 0.500 [1 per cell]
Ir 0.500 0.500 0.000 [1 per cell]

## Properties
energy relative to the lowest polymorph listed for this composition	0.000	eV per atom
DOS(E_F)	0.9377	states/eV/atom
density	11.86	Mg/m³